Compound: K3Cr2SnF9
Source: Alexandria via LeMat-Bulk
Functional: PBE+U
Structure: relaxed

POSCAR file:
```
K3Cr2SnF9
1.0
-3.091 2.650 -4.567
4.811 -3.575 -1.232
-4.704 -6.190 -0.408
K Cr Sn F
3 2 1 9
direct
0.333 0.667 0.698
0.000 0.000 0.000
0.667 0.333 0.302
0.333 0.667 0.152
0.667 0.333 0.848
0.000 0.000 0.500
0.828 0.172 0.692
0.828 0.657 0.692
0.343 0.172 0.692
0.657 0.828 0.308
0.172 0.343 0.308
0.172 0.828 0.308
0.500 0.000 0.000
0.000 0.500 0.000
0.500 0.500 0.000
```

## Properties
magnetization = 8.00 μB/cell
space-group type = P-3m1, No. 164
raw total energy = -5.15 eV per atom
ρ = 3.4 g/cm³